No. 1
# Hf3Co2 PBE relaxed
data_Hf3Co2
_chemical_formula_sum 'Hf6 Co4'
_cell_length_a 4.0017
_cell_length_b 5.4026
_cell_length_c 7.9639
_cell_angle_alpha 90.00
_cell_angle_beta 90.00
_cell_angle_gamma 90.00
_space_group_name_H-M_alt 'I m m m'
_space_group_IT_number 71
_space_group_name_Hall '-I 2 2'
loop_
_atom_site_label
_atom_site_type_symbol
_atom_site_fract_x
_atom_site_fract_y
_atom_site_fract_z
Hf1 Hf 0.0000 0.0000 0.0000
Hf2 Hf 0.0000 0.5000 0.2010
Co1 Co 0.0000 0.2218 0.5000
# V (Å³/f.u.): 86.1
# Excess energy over the best structure of this formula in the dataset (meV/atom): 0
# ΔH_f (0 K) (eV per atom): -0.2933

***

No. 2
# Na2TaFeTc PBE relaxed
data_Na2TaFeTc
_chemical_formula_sum 'Na2 Ta1 Fe1 Tc1'
_cell_length_a 4.9799
_cell_length_b 4.9799
_cell_length_c 4.2739
_cell_angle_alpha 90.00
_cell_angle_beta 90.00
_cell_angle_gamma 90.00
_space_group_name_H-M_alt 'P 4/m m m'
_space_group_IT_number 123
_space_group_name_Hall '-P 4 2'
loop_
_atom_site_label
_atom_site_type_symbol
_atom_site_fract_x
_atom_site_fract_y
_atom_site_fract_z
Na1 Na 0.0000 0.5000 0.0000
Ta1 Ta 0.0000 0.0000 0.5000
Fe1 Fe 0.5000 0.5000 0.5000
Tc1 Tc 0.5000 0.5000 0.0000
# V (Å³/f.u.): 106.0
# ΔH_f (0 K) (eV per atom): 2.0766